Entry 1:
This record from Alexandria via LeMat-Bulk describes a relaxed Al2IrOs crystal. The functional is PBE-GGA.

Crystal system = monoclinic
N(E_F) = 0.481 states/eV/atom
E above lowest polymorph = 15.0 kJ per mole of atoms
ΔE_f = -0.550 eV per atom

abc: 9.421 2.889 4.423
angles: 90.00 109.94 90.00
Space group Cm (No. 8)
Inequivalent atoms, fractional coordinates:
Al1 0.000 0.000 0.000
Al2 0.232 0.000 0.605
Ir1 0.246 0.500 0.104
Os1 0.487 0.000 0.504

***

Entry 2:
This record from Alexandria via LeMat-Bulk describes a relaxed Sc6Al5In crystal. The functional is PBE-GGA.

Crystal system = orthorhombic
N(E_F) = 0.430 states/eV/atom
ΔE_f = -0.431 eV per atom

abc: 4.839 6.765 14.519
angles: 90.00 90.00 90.00
Space group Immm (No. 71)
Inequivalent atoms, fractional coordinates:
Sc1 0.000 0.243 0.000
Sc2 0.000 0.253 0.331
Al1 0.000 0.000 0.167
Al2 0.000 0.500 0.165
Al3 0.000 0.500 0.500
In1 0.000 0.000 0.500

***

Entry 3:
This record from Alexandria via LeMat-Bulk describes a relaxed DyTmN2 crystal. The functional is PBE-GGA.

Crystal system = trigonal
N(E_F) = 0.008 states/eV/atom
ΔE_f (raw) = -1.525 eV per atom

abc: 3.3784 3.3784 17.5506
angles: 90.00 90.00 120.00
Space group R3m (No. 160, hexagonal axes)
Inequivalent atoms, fractional coordinates:
Dy1 0.0000 0.0000 0.0000
Tm1 0.0000 0.0000 0.8293
N1 0.0000 0.0000 0.2438
N2 0.0000 0.0000 0.4160

***

- Look up the N(E_F) of the third one.
  0.008 states/eV/atom